The following is a DFT calculation (PBE-GGA) of a geometry-optimized MnPb2Cl2 structure. Values from VASP.

Results
ΔE_f (raw) in eV per atom: -0.0970

```
&SYSTEM
  ibrav = 0, nat = 5, ntyp = 3
/
ATOMIC_SPECIES
Pb 207.20 Pb.upf
Cl 35.45 Cl.upf
Mn 54.94 Mn.upf
ATOMIC_POSITIONS angstrom
Pb -2.8467 -2.0731 0.9318
Pb -2.2025 0.0663 -2.9007
Cl -2.0309 0.8750 0.1471
Cl -4.7574 2.0497 0.3446
Mn 0.0000 0.0000 0.0000
CELL_PARAMETERS angstrom
-4.0383 -0.6770 4.0783
-2.7500 3.6017 -3.5866
1.7390 -4.9315 -2.4606
```

The following is a DFT calculation (PBE-GGA) of a geometry-optimized Tb4Nd2Se9 structure. Values from VASP.

Results
ΔE_f (raw) in eV per atom: -1.8618

```
&SYSTEM
  ibrav = 0, nat = 30, ntyp = 3
/
ATOMIC_SPECIES
Tb 158.93 Tb.upf
Se 78.96 Se.upf
Nd 144.24 Nd.upf
ATOMIC_POSITIONS angstrom
Tb 4.5220 -8.6333 3.9142
Tb 3.1041 -5.7178 8.1960
Tb 5.8052 -10.7698 13.4261
Tb 2.3249 -4.4164 2.4159
Tb 4.3946 -7.8339 17.7088
Tb 3.6081 -6.5529 11.9279
Tb 3.7355 -7.3523 -1.8667
Tb 5.0260 -9.4684 7.6461
Se 0.0836 -4.9277 0.5879
Se 2.8606 -10.1335 5.8184
Se 4.8416 -6.9090 6.2607
Se 3.2885 -8.2773 9.5814
Se 2.2804 -1.8611 0.9741
Se 6.5276 -7.0545 2.6203
Se 5.9579 -8.0144 12.6627
Se 5.8497 -13.3251 14.8680
Se 4.3055 -9.9820 15.8201
Se 1.6025 -8.1317 13.2218
Se 2.1722 -7.1719 3.1794
Se 4.3378 -10.8218 2.0792
Se 6.6336 -10.1280 5.2999
Se 5.2695 -5.0527 10.0237
Se 1.4964 -5.0583 10.5422
Se 3.8246 -5.2042 0.0220
Se 8.0465 -10.2585 15.2542
Se 3.7923 -4.3645 13.7629
Nd 2.2039 -3.6261 16.2108
Nd 5.9261 -11.5601 -0.3687
Nd 0.4336 -8.6308 5.1521
Nd 7.6965 -6.5554 10.6900
CELL_PARAMETERS angstrom
-0.4827 -7.1396 -1.5333
6.0340 -3.7958 -1.6660
2.5787 -4.2508 19.0414
```

The following is a DFT calculation (PBE-GGA) of a geometry-optimized LaSm3Pu2Se6 structure. Values from VASP.

Results
ΔE_f (raw) in eV per atom: -1.7658

```
&SYSTEM
  ibrav = 0, nat = 12, ntyp = 4
/
ATOMIC_SPECIES
Se 78.96 Se.upf
La 138.91 La.upf
Sm 150.36 Sm.upf
Pu 244.00 Pu.upf
ATOMIC_POSITIONS angstrom
Se 3.6453 2.0418 5.1334
Se -1.2321 2.1366 1.7312
Se -0.0532 4.1779 5.1334
Se 0.0266 0.0461 5.1508
Se 2.4664 0.0006 1.7312
Se 2.3866 4.1323 1.7138
La 0.0000 0.0000 0.0000
Sm 4.8562 -0.0185 3.4323
Sm -2.4430 4.1970 3.4323
Sm 1.2066 2.0892 3.4323
Pu 3.6276 2.0858 -0.0003
Pu -0.0062 4.1845 -0.0003
CELL_PARAMETERS angstrom
7.2429 -0.0022 -0.0003
-3.6216 6.2725 -0.0003
-1.2081 -2.0919 6.8651
```

The following is a DFT calculation (PBE-GGA) of a geometry-optimized SbOsCl2 structure. Values from VASP.

Results
Offset from the most stable computed form in meV/atom: 986
ΔE_f (raw) in eV per atom: 1.0088

```
&SYSTEM
  ibrav = 0, nat = 8, ntyp = 3
/
ATOMIC_SPECIES
Cl 35.45 Cl.upf
Sb 121.76 Sb.upf
Os 190.23 Os.upf
ATOMIC_POSITIONS angstrom
Cl -2.8688 -2.5784 4.9915
Cl -0.4016 -5.3320 0.1226
Cl -0.9600 -5.6051 4.9811
Cl -3.7558 -10.8212 6.5144
Sb -2.5477 -3.6524 1.9234
Sb -1.2445 -7.5473 2.3702
Os 0.0000 0.0000 0.0000
Os -2.7486 -4.6211 5.9346
CELL_PARAMETERS angstrom
-4.0518 -0.7261 5.4878
-1.0436 -6.5786 -1.6410
1.1023 -4.8636 4.4580
```

The following is a DFT calculation (PBE-GGA) of a geometry-optimized K3TcN structure. Values from VASP.

Results
Offset from the most stable computed form in meV/atom: 0
ΔE_f (raw) in eV per atom: 1.3659

```
&SYSTEM
  ibrav = 0, nat = 5, ntyp = 3
/
ATOMIC_SPECIES
K 39.10 K.upf
N 14.01 N.upf
Tc 98.00 Tc.upf
ATOMIC_POSITIONS angstrom
K 0.0000 2.7786 0.0000
K 0.0000 0.0000 2.7786
K 2.7786 0.0000 0.0000
N 0.0000 0.0000 0.0000
Tc 2.7786 2.7786 2.7786
CELL_PARAMETERS angstrom
5.5571 0.0000 0.0000
0.0000 5.5571 0.0000
0.0000 0.0000 5.5571
```

The following is a DFT calculation (PBE-GGA) of a geometry-optimized LiCu4As2 structure. Values from VASP.

Results
DFT formation energy in meV/atom: -153

```
&SYSTEM
  ibrav = 0, nat = 7, ntyp = 3
/
ATOMIC_SPECIES
Li 6.94 Li.upf
Cu 63.55 Cu.upf
As 74.92 As.upf
ATOMIC_POSITIONS angstrom
Li 0.0000 0.0000 0.0000
Cu 0.8935 0.5403 4.6351
Cu 5.0472 3.0518 5.0176
Cu 2.6158 1.5817 6.1578
Cu 3.3249 2.0104 3.4949
As 1.5321 0.9264 2.2371
As 4.4087 2.6657 7.4156
CELL_PARAMETERS angstrom
3.9738 0.0000 1.0581
1.8460 3.5190 1.0581
0.1210 0.0731 7.5364
```

The following is a DFT calculation (PBE-GGA) of a geometry-optimized Cs2La2PbO6 structure. Values from VASP.

Results
ΔE_f (raw) in eV per atom: -2.1315

```
&SYSTEM
  ibrav = 0, nat = 11, ntyp = 4
/
ATOMIC_SPECIES
La 138.91 La.upf
O 16.00 O.upf
Pb 207.20 Pb.upf
Cs 132.91 Cs.upf
ATOMIC_POSITIONS angstrom
La 2.6214 0.8955 3.6210
La -0.5172 2.7215 3.6210
O 1.6687 2.8683 4.8235
O 1.4633 -0.9870 4.6809
O 0.6410 4.6040 2.5611
O 0.4356 0.7487 2.4185
O -1.5813 0.7842 4.6809
O 3.6855 2.8328 2.5611
Pb -0.5387 -0.9260 3.5114
Cs -1.5832 4.5810 0.1096
Cs 4.7649 0.8879 0.1096
CELL_PARAMETERS angstrom
6.3210 -0.0174 0.1096
-3.1394 5.4864 0.1096
-1.0774 -1.8519 7.0228
```

The following is a DFT calculation (PBE-GGA) of a geometry-optimized PmHoOsRu structure. Values from VASP.

Results
DFT formation energy in meV/atom: -79

```
&SYSTEM
  ibrav = 0, nat = 4, ntyp = 4
/
ATOMIC_SPECIES
Ru 101.07 Ru.upf
Ho 164.93 Ho.upf
Os 190.23 Os.upf
Pm 145.00 Pm.upf
ATOMIC_POSITIONS angstrom
Ru -2.8808 -4.5805 7.1089
Ho -1.9205 -3.0537 4.7393
Os -0.9603 -1.5268 2.3696
Pm 0.0000 0.0000 0.0000
CELL_PARAMETERS angstrom
-3.5547 -2.8374 1.7214
1.0477 -3.6038 3.0926
-1.3341 0.3338 4.6646
```

The following is a DFT calculation (PBE-GGA) of a geometry-optimized AsOs2Au structure. Values from VASP.

Results
DFT formation energy in meV/atom: 568

```
&SYSTEM
  ibrav = 0, nat = 4, ntyp = 3
/
ATOMIC_SPECIES
Os 190.23 Os.upf
As 74.92 As.upf
Au 196.97 Au.upf
ATOMIC_POSITIONS angstrom
Os 4.9584 -2.0482 0.6604
Os 2.4577 -4.5320 -1.6018
As 3.3488 -6.6975 -2.4691
Au 1.1163 -2.2325 -0.8230
CELL_PARAMETERS angstrom
-0.7983 -4.0767 -0.7784
0.0797 -2.7381 -3.2185
5.1836 -2.1152 0.7047
```

The following is a DFT calculation (PBE-GGA) of a geometry-optimized VCrSi structure. Values from VASP.

Results
ΔE_f (raw) in eV per atom: -0.2684

```
&SYSTEM
  ibrav = 0, nat = 3, ntyp = 3
/
ATOMIC_SPECIES
V 50.94 V.upf
Si 28.09 Si.upf
Cr 52.00 Cr.upf
ATOMIC_POSITIONS angstrom
V -2.3375 -0.4416 0.5927
Si -1.4541 1.4118 2.1385
Cr -0.0287 0.0505 -0.0041
CELL_PARAMETERS angstrom
-1.2711 2.2330 -0.1832
-3.3848 -2.0068 -0.9767
0.8356 0.7945 3.8870
```

The following is a DFT calculation (PBE-GGA) of a geometry-optimized NaSr8Ca3 structure. Values from VASP.

Results
DFT formation energy in meV/atom: 23

```
&SYSTEM
  ibrav = 0, nat = 12, ntyp = 3
/
ATOMIC_SPECIES
Sr 87.62 Sr.upf
Na 22.99 Na.upf
Ca 40.08 Ca.upf
ATOMIC_POSITIONS angstrom
Sr -1.0991 8.0818 1.1621
Sr -0.0448 1.6664 1.5886
Sr 4.3554 9.3738 6.6069
Sr 4.2636 5.9775 3.7233
Sr 4.5393 2.5774 0.6553
Sr 5.5218 3.1172 7.0731
Sr -0.0353 5.1405 4.4394
Sr -0.1334 8.5989 7.3184
Na 1.5744 8.8268 3.8641
Ca 2.8863 2.2864 4.2626
Ca 1.6473 5.1907 0.7983
Ca 2.6358 5.7625 7.3748
CELL_PARAMETERS angstrom
7.5044 -1.9878 -0.9609
-4.0557 9.1624 -0.2271
0.8853 3.9734 9.3364
```

The following is a DFT calculation (PBE-GGA) of a geometry-optimized Na3TeH structure. Values from VASP.

Results
Offset from the most stable computed form in meV/atom: 303

```
&SYSTEM
  ibrav = 0, nat = 10, ntyp = 3
/
ATOMIC_SPECIES
H 1.01 H.upf
Na 22.99 Na.upf
Te 127.60 Te.upf
ATOMIC_POSITIONS angstrom
H 3.2468 -1.5121 4.2879
H 3.2468 1.5121 1.4293
Na 1.7189 2.9755 1.4293
Na 1.7189 -2.9755 4.2879
Na 0.0000 0.0000 0.0000
Na 0.0000 0.0000 2.8586
Na 4.7748 -2.9755 4.2879
Na 4.7748 2.9755 1.4293
Te 3.2468 -5.7538 4.2879
Te 3.2468 5.7538 1.4293
CELL_PARAMETERS angstrom
3.2468 -8.4123 0.0000
3.2468 8.4123 0.0000
0.0000 0.0000 5.7172
```

The following is a DFT calculation (PBE-GGA) of a geometry-optimized Pr3Sm2UN6 structure. Values from VASP.

Results
ΔE_f (raw) in eV per atom: -1.4436

```
&SYSTEM
  ibrav = 0, nat = 12, ntyp = 4
/
ATOMIC_SPECIES
Sm 150.36 Sm.upf
N 14.01 N.upf
Pr 140.91 Pr.upf
U 238.03 U.upf
ATOMIC_POSITIONS angstrom
Sm 0.0069 3.5859 0.0007
Sm 3.1026 1.7981 0.0007
N 0.1961 3.5882 4.5953
N -0.0904 -0.1566 4.5714
N 2.1636 3.7463 1.3336
N -0.9368 1.6266 1.3097
N 3.0100 1.9631 4.5953
N 1.8770 0.0014 1.3097
Pr 1.0366 1.7948 2.9525
Pr 4.1330 0.0066 2.9525
Pr -2.0598 3.5831 2.9525
U 0.0000 0.0000 0.0000
CELL_PARAMETERS angstrom
6.2091 0.0040 0.0007
-3.0996 5.3801 0.0007
-1.0363 -1.7943 5.9035
```

The following is a DFT calculation (PBE-GGA) of a geometry-optimized SrTbZn2 structure. Values from VASP.

Results
DFT formation energy in meV/atom: -253

```
&SYSTEM
  ibrav = 0, nat = 4, ntyp = 3
/
ATOMIC_SPECIES
Sr 87.62 Sr.upf
Zn 65.41 Zn.upf
Tb 158.93 Tb.upf
ATOMIC_POSITIONS angstrom
Sr -4.3798 -0.4667 1.1915
Zn -0.9767 -0.6754 1.0133
Zn -3.6729 -2.5397 3.8105
Tb -2.0550 1.1408 -1.2204
CELL_PARAMETERS angstrom
-1.8425 3.2383 0.3825
-2.2675 -0.9567 -2.8233
-4.6496 -3.2151 4.8238
```

The following is a DFT calculation (PBE-GGA) of a geometry-optimized La2SiHPt6 structure. Values from VASP.

```
&SYSTEM
  ibrav = 0, nat = 10, ntyp = 4
/
ATOMIC_SPECIES
Pt 195.08 Pt.upf
La 138.91 La.upf
H 1.01 H.upf
Si 28.09 Si.upf
ATOMIC_POSITIONS angstrom
Pt -2.9962 -2.1674 4.2633
Pt -4.0935 -5.3775 6.5089
Pt -6.8194 -5.0216 5.7246
Pt -0.2704 -2.5233 5.0475
Pt -5.1418 -2.7451 6.1266
Pt -1.9480 -4.7997 4.6455
La -4.4861 -4.4825 3.0537
La -2.6037 -3.0624 7.7184
H 0.0000 0.0000 0.0000
Si -1.2416 -3.2189 2.8856
CELL_PARAMETERS angstrom
-3.3980 -4.6058 -0.8120
0.9148 -1.8319 6.5833
-4.6065 -1.1072 5.0009
```

The following is a DFT calculation (PBE-GGA) of a geometry-optimized Ba2Nb15O32 structure. Values from VASP.

Results
ΔE_f (raw) in eV per atom: -2.5438

```
&SYSTEM
  ibrav = 0, nat = 49, ntyp = 3
/
ATOMIC_SPECIES
O 16.00 O.upf
Nb 92.91 Nb.upf
Ba 137.33 Ba.upf
ATOMIC_POSITIONS angstrom
O 7.4912 7.4762 6.0313
O 7.2247 2.9646 8.5087
O 12.3074 8.4549 10.6339
O 10.2113 6.4311 10.6339
O 6.1798 4.3427 3.5816
O 10.2290 1.8534 8.3088
O 5.5625 7.2638 3.7814
O 11.8436 6.8379 8.6348
O 3.4840 0.6623 1.4563
O 8.3003 1.6410 6.0589
O 10.1816 6.7599 1.1562
O 5.1667 5.6671 6.0589
O 9.0719 7.9318 8.3088
O 4.8464 5.4376 1.1562
O 7.1322 7.6389 10.9340
O 6.7196 1.1854 3.7814
O 10.9451 3.6796 10.9340
O 11.4051 5.2266 3.7814
O 8.5667 6.1525 3.5816
O 4.3863 3.8905 8.3088
O 3.9479 2.2793 3.4554
O 9.6116 4.7744 8.5087
O 5.5801 2.6861 1.4563
O 2.7795 3.4895 1.4563
O 8.6592 1.4783 1.1562
O 6.8508 5.9367 8.5087
O 10.2202 6.3678 6.0589
O 5.5712 2.7494 6.0313
O 5.6098 2.3573 10.9340
O 8.9406 3.1805 3.5816
O 13.0120 5.6277 10.6339
O 10.6247 3.4501 6.0313
Nb 3.9479 2.2793 7.0333
Nb 10.4936 8.1202 9.6500
Nb 0.0000 0.0000 0.0000
Nb 7.2295 3.0716 4.8530
Nb 4.3834 4.0896 2.4402
Nb 2.1623 1.7513 2.4402
Nb 6.9410 5.8791 4.8530
Nb 11.4080 5.0276 9.6500
Nb 9.5166 4.7251 4.8530
Nb 8.8504 3.2381 7.2372
Nb 13.6291 7.3659 9.6500
Nb 6.2748 4.3920 7.2372
Nb 5.2979 0.9970 2.4402
Nb 11.8436 6.8379 5.0569
Nb 8.5619 6.0456 7.2372
Ba 7.8957 4.5586 1.0144
Ba 7.8957 4.5586 11.0758
CELL_PARAMETERS angstrom
7.8957 0.0000 0.0000
3.9479 6.8379 0.0000
3.9479 2.2793 12.0902
```

The following is a DFT calculation (PBE-GGA) of a geometry-optimized Th4ReGeSe2 structure. Values from VASP.

Results
ΔE_f (raw) in eV per atom: -0.9412

```
&SYSTEM
  ibrav = 0, nat = 8, ntyp = 4
/
ATOMIC_SPECIES
Th 232.04 Th.upf
Ge 72.64 Ge.upf
Re 186.21 Re.upf
Se 78.96 Se.upf
ATOMIC_POSITIONS angstrom
Th 2.2086 4.4893 2.3417
Th -1.5912 2.3884 0.8552
Th -2.1715 0.8195 4.5762
Th -1.3063 5.3141 4.2415
Ge 0.0000 0.0000 0.0000
Re -3.6221 0.8413 2.0942
Se 0.0185 2.6544 3.4589
Se 0.7060 4.2068 -0.4565
CELL_PARAMETERS angstrom
-2.9346 2.3937 -1.8212
-4.3095 -0.7111 6.0097
4.3466 6.0199 0.9082
```

The following is a DFT calculation (PBE-GGA) of a geometry-optimized AcSmY2 structure. Values from VASP.

Results
DFT formation energy in meV/atom: 90
Offset from the most stable computed form in meV/atom: 51

```
&SYSTEM
  ibrav = 0, nat = 4, ntyp = 3
/
ATOMIC_SPECIES
Sm 150.36 Sm.upf
Y 88.91 Y.upf
Ac 227.00 Ac.upf
ATOMIC_POSITIONS angstrom
Sm 2.1155 2.1155 0.0000
Y 0.0000 0.0000 1.8624
Y 0.0000 0.0000 6.1258
Ac 2.1155 2.1155 3.9941
CELL_PARAMETERS angstrom
4.2309 0.0000 0.0000
0.0000 4.2309 0.0000
0.0000 0.0000 7.9883
```

The following is a DFT calculation (PBE-GGA) of a geometry-optimized TbGaO3 structure. Values from VASP.

Results
ΔE_f (raw) in eV per atom: -2.5959

```
&SYSTEM
  ibrav = 0, nat = 10, ntyp = 3
/
ATOMIC_SPECIES
O 16.00 O.upf
Tb 158.93 Tb.upf
Ga 69.72 Ga.upf
ATOMIC_POSITIONS angstrom
O 4.3163 4.8692 3.5748
O 4.4713 1.3030 3.5747
O 6.5302 1.3927 1.3009
O 7.4823 3.2206 3.5747
O 3.3642 3.0413 1.3010
O 6.3753 4.9589 1.3010
Tb 5.4233 3.1310 0.4849
Tb 5.4232 3.1309 4.3908
Ga 2.7117 1.5654 2.6598
Ga 8.1349 4.6965 2.2159
CELL_PARAMETERS angstrom
5.4232 0.0001 -0.0001
2.7118 4.6965 -0.0002
2.7116 1.5653 4.8759
```

The following is a DFT calculation (PBE-GGA) of a geometry-optimized Sm6BiAs4 structure. Values from VASP.

Results
DFT formation energy in meV/atom: -1302

```
&SYSTEM
  ibrav = 0, nat = 22, ntyp = 3
/
ATOMIC_SPECIES
Sm 150.36 Sm.upf
Bi 208.98 Bi.upf
As 74.92 As.upf
ATOMIC_POSITIONS angstrom
Sm 2.1320 3.7717 8.9357
Sm 2.1320 6.3855 17.9504
Sm 0.0000 4.6163 5.3389
Sm 2.1320 6.3855 14.0829
Sm 0.0000 3.1580 12.4198
Sm 0.0000 3.1580 19.6135
Sm 2.1320 0.0000 10.6778
Sm 2.1320 2.3133 16.0167
Sm 2.1320 3.7717 1.7421
Sm 0.0000 0.5441 7.2727
Sm 2.1320 0.0000 0.0000
Sm 0.0000 0.5441 3.4051
Bi 2.1320 2.2441 5.3389
Bi 0.0000 4.6856 16.0167
As 2.1320 1.2884 18.6909
As 0.0000 5.6412 8.0132
As 2.1320 1.2884 13.3424
As 0.0000 1.8993 0.8910
As 0.0000 1.8993 9.7868
As 2.1320 5.0303 11.5687
As 2.1320 5.0303 20.4646
As 0.0000 5.6412 2.6646
CELL_PARAMETERS angstrom
4.2639 0.0000 0.0000
-2.1320 6.9296 0.0000
0.0000 0.0000 21.3555
```

| no. | total magnetization (Bohr magnetons per cell) | calculated density (g/cm³) | E (eV per atom) |
| --- | --- | --- | --- |
| 1 | 3.413 | 6.2 | -4.15 |
| 2 | 0.000 | 5.9 | -5.82 |
| 3 | 11.651 | 8.3 | -7.49 |
| 4 | 0.000 | 5.9 | -3.75 |
| 5 | 2.778 | 2.2 | -3.03 |
| 6 | 0.000 | 6.5 | -4.10 |
| 7 | 0.000 | 5.7 | -6.22 |
| 8 | 0.000 | 12.3 | -7.54 |
| 9 | 0.000 | 16.8 | -7.03 |
| 10 | 0.000 | 5.9 | -8.32 |
| 11 | 0.000 | 2.3 | -1.71 |
| 12 | 0.000 | 2.1 | -2.43 |
| 13 | 0.000 | 8.8 | -8.53 |
| 14 | 0.000 | 6.0 | -2.47 |
| 15 | 0.000 | 14.0 | -6.37 |
| 16 | 0.637 | 5.5 | -8.94 |
| 17 | 0.000 | 10.1 | -7.66 |
| 18 | 0.000 | 6.4 | -5.35 |
| 19 | 0.000 | 7.4 | -7.10 |
| 20 | 0.968 | 7.4 | -5.92 |